The following is a PBE calculation of crystalline GaFeAu2 at its relaxed geometry, from the Alexandria database.

The structure belongs to space group I-42d (No. 122); the cell edges are 3.8136, 3.8136 and 18.9764 Å and the angles 90.00°, 90.00° and 90.00°. The inequivalent atoms are Ga at (0.0000, 0.0000, 0.0000), Fe at (0.0000, 0.0000, 0.5000) and Au at (0.2505, 0.2500, 0.1250).

For the final energy, the calculation gives -4.292 eV per atom. For the formation energy, the calculation gives 0.88 eV/f.u.